[1]
DFT (GGA-PBE) results for a relaxed structure of Pa2BeCrN5.

The calculation puts the size of the total moment at 9.2 μB/cell. Its calculated total energy is -9.3754 eV per atom. For the uncorrected formation energy, the calculation gives -1.1567 eV per atom.

The space group is Cmc2_1 (No. 36) and the conventional cell measures 3.232, 13.130 and 9.275 Å, with angles of 90.00, 90.00 and 90.00 degrees. The asymmetric unit holds Pa at (0.000, 0.119, 0.000), Pa at (0.000, 0.130, 0.617), Be at (0.000, 0.457, 0.772), Cr at (0.000, 0.199, 0.315), N at (0.000, 0.044, 0.340), N at (0.000, 0.296, 0.965), N at (0.000, 0.308, 0.675), N at (0.000, 0.352, 0.319) and N at (0.000, 0.498, 0.093).

***

[2]
DFT (GGA-PBE) results for a relaxed structure of BeCrPdN2.

The calculation puts the size of the total moment at 0.5 μB/cell. Its calculated total energy is -5.6347 eV per atom. For the uncorrected formation energy, the calculation gives 1.4039 eV per atom.

The space group is P4/mmm (No. 123) and the conventional cell measures 3.576, 3.576 and 4.163 Å, with angles of 90.00, 90.00 and 90.00 degrees. The asymmetric unit holds Be at (0.000, 0.000, 0.000), Cr at (0.500, 0.500, 0.500), Pd at (0.000, 0.000, 0.500) and N at (0.000, 0.500, 0.000).

***

[3]
DFT (GGA-PBE) results for a relaxed structure of BeCrSN2.

The calculation puts the size of the total moment at 0.0 μB/cell. Its calculated total energy is -6.2933 eV per atom. For the uncorrected formation energy, the calculation gives 0.5323 eV per atom.

The space group is P4/mmm (No. 123) and the conventional cell measures 3.543, 3.543 and 5.115 Å, with angles of 90.00, 90.00 and 90.00 degrees. The asymmetric unit holds Be at (0.000, 0.000, 0.000), Cr at (0.500, 0.500, 0.500), S at (0.500, 0.500, 0.000) and N at (0.000, 0.500, 0.500).

***

[4]
DFT (GGA-PBE) results for a relaxed structure of BeCrSe2N.

The calculation puts the size of the total moment at 3.2 μB/cell. Its calculated total energy is -5.3225 eV per atom. For the uncorrected formation energy, the calculation gives 0.4063 eV per atom. The value obtained for the offset from the most stable computed form is 0.0000 eV/atom.

The space group is P4/mmm (No. 123) and the conventional cell measures 4.947, 4.947 and 3.105 Å, with angles of 90.00, 90.00 and 90.00 degrees. The asymmetric unit holds Be at (0.000, 0.000, 0.000), Cr at (0.500, 0.500, 0.500), Se at (0.000, 0.500, 0.000) and N at (0.000, 0.000, 0.500).